Entry from the Alexandria database: RbGa2AsH after structural relaxation (PBE).

Geometry as CIF:
```
data_RbGa2AsH
_cell_length_a 6.0221
_cell_length_b 6.0221
_cell_length_c 4.1346
_cell_angle_alpha 90.00
_cell_angle_beta 90.00
_cell_angle_gamma 90.00
_symmetry_space_group_name_H-M 'P 1'
_symmetry_Int_Tables_number 1
loop_
_symmetry_equiv_pos_as_xyz
'x,y,z'
loop_
_atom_site_label
_atom_site_fract_x
_atom_site_fract_y
_atom_site_fract_z
_atom_site_occupancy
Rb1 0.0000 0.0000 0.0000 1
Ga1 0.0000 0.5000 0.0000 1
Ga2 0.5000 0.0000 0.0000 1
As1 0.5000 0.5000 0.5000 1
H1 0.0000 0.0000 0.5000 1
```

Its magnetization is 0.00 μB per formula unit. The total energy is -9.7 eV/cell.